Below is a relaxed structure of Cs4K2Pd, with properties calculated at the GGA-PBE level.

The structure in CIF format:
```
data_Cs4K2Pd
_chemical_formula_sum 'Cs8 K4 Pd2'
_space_group_name_H-M_alt 'I 4/m m m'
_space_group_IT_number 139
_space_group_name_Hall '-I 4 2'
_cell_length_a 6.9233
_cell_length_b 6.9233
_cell_length_c 24.6193
_cell_angle_alpha 90.00
_cell_angle_beta 90.00
_cell_angle_gamma 90.00
loop_
_atom_site_label
_atom_site_type_symbol
_atom_site_fract_x
_atom_site_fract_y
_atom_site_fract_z
_atom_site_occupancy
Cs1 Cs 0.0000 0.0000 0.1382 1
Cs2 Cs 0.0000 0.5000 0.0000 1
K1 K 0.0000 0.0000 0.3255 1
Pd1 Pd 0.0000 0.0000 0.0000 1
```

Calculated values
Energy relative to the lowest polymorph listed for this composition (kJ/mol of formula units): 7
Magnetization (μB/cell): 0.0
Energy of formation from the pure elements (meV/atom): 68
D(E_F) (states/eV per atom): 0.46